# ScFe2OsBr, relaxed, DFT PBE
# volume: 104 Å³ per cell
# E_tot: -30.88 eV per cell
# crystal system: tetragonal
# formation energy (no corrections): 5.3 eV per formula unit
# Fermi-level density of states: 7.588 states/eV per cell
data_ScFe2OsBr
_chemical_formula_sum 'Sc1 Fe2 Os1 Br1'
_cell_length_a 4.510
_cell_length_b 4.510
_cell_length_c 5.105
_cell_angle_alpha 90.00
_cell_angle_beta 90.00
_cell_angle_gamma 90.00
_space_group_name_H-M_alt 'P 1'
_space_group_IT_number 1
_space_group_name_Hall 'P 1'
loop_
_atom_site_label
_atom_site_fract_x
_atom_site_fract_y
_atom_site_fract_z
_atom_site_occupancy
Sc1 0.000 0.000 0.000 1
Fe1 0.000 0.500 0.500 1
Fe2 0.500 0.000 0.500 1
Os1 0.500 0.500 0.500 1
Br1 0.500 0.500 0.000 1